Pm2VCuO6: optimized geometry, GGA+U.

abc: 5.231 5.231 4.868
angles: 90.00 90.00 90.00
Fractional positions:
Pm 0.000 0.500 0.000
Pm 0.500 0.000 0.000
V 0.000 0.000 0.583
Cu 0.500 0.500 0.528
O 0.000 0.000 0.209
O 0.237 0.237 0.704
O 0.237 0.763 0.704
O 0.500 0.500 0.132
O 0.763 0.237 0.704
O 0.763 0.763 0.704

Results
As for the space-group type: No. 99. The electronic total energy comes out at -73.88 eV/cell. For the total magnetization, the calculation gives 0.00 μB/f.u.